Record 1
The following is a DFT calculation (PBE-GGA) of NaMg2TcAu after structural relaxation.

```
NaMg2TcAu
1.0
5.1180 0.0000 0.0000
0.0000 5.1180 0.0000
0.0000 0.0000 4.9719
Na Mg Tc Au
1 2 1 1
direct
0.0000 0.0000 0.0000
0.0000 0.5000 0.5000
0.5000 0.0000 0.5000
0.5000 0.5000 0.5000
0.5000 0.5000 0.0000
```

Space-group type: No. 123
Theoretical density (g/cm3): 4.67
ΔE_f (eV/atom): 0.493
E (eV per atom): -3.137
Spin magnetization (μB per atom): 0.00
D(E_F) (states/eV/f.u.): 2.57

=====

Record 2
The following is a DFT calculation (PBE-GGA) of NaTmMgAu after structural relaxation.

```
NaTmMgAu
1.0
7.0472 0.0000 0.0000
0.0000 7.0472 0.0000
0.0000 0.0000 7.0472
Na Tm Mg Au
4 4 4 4
direct
0.0000 0.0000 0.0000
0.0000 0.5000 0.5000
0.5000 0.0000 0.5000
0.5000 0.5000 0.0000
0.2500 0.2500 0.2500
0.2500 0.7500 0.7500
0.7500 0.2500 0.7500
0.7500 0.7500 0.2500
0.2500 0.2500 0.7500
0.2500 0.7500 0.2500
0.7500 0.2500 0.2500
0.7500 0.7500 0.7500
0.0000 0.0000 0.5000
0.0000 0.5000 0.0000
0.5000 0.0000 0.0000
0.5000 0.5000 0.5000
```

Space-group type: No. 216
Theoretical density (g/cm3): 7.84
ΔE_f (eV/atom): -0.266
E (eV per atom): -2.931
Spin magnetization (μB per atom): 0.15
D(E_F) (states/eV/f.u.): 4.83

=====

Record 3
The following is a DFT calculation (PBE-GGA) of NaYMgAu after structural relaxation.

```
NaYMgAu
1.0
7.1118 0.0000 0.0000
0.0000 7.1118 0.0000
0.0000 0.0000 7.1118
Na Y Mg Au
4 4 4 4
direct
0.0000 0.0000 0.0000
0.0000 0.5000 0.5000
0.5000 0.0000 0.5000
0.5000 0.5000 0.0000
0.2500 0.2500 0.2500
0.2500 0.7500 0.7500
0.7500 0.2500 0.7500
0.7500 0.7500 0.2500
0.2500 0.2500 0.7500
0.2500 0.7500 0.2500
0.7500 0.2500 0.2500
0.7500 0.7500 0.7500
0.0000 0.0000 0.5000
0.0000 0.5000 0.0000
0.5000 0.0000 0.0000
0.5000 0.5000 0.5000
```

Space-group type: No. 216
Theoretical density (g/cm3): 6.15
ΔE_f (eV/atom): -0.289
E (eV per atom): -3.453
Spin magnetization (μB per atom): 0.19
D(E_F) (states/eV/f.u.): 4.65